NaGdFeTe3 (PBE-GGA, relaxed); space group = Cmcm; energy above the lowest structure with this stoichiometry = 29 meV per atom; spin magnetization = 7.9 μB/cell; calculated volume = 30.0 Å³ per atom; total DFT energy (no corrections) = -4.733 eV/atom
1.0
2.142 -7.326 0.000
2.142 7.326 0.000
0.000 0.000 11.458
Na Gd Fe Te
2 2 2 6
direct
0.240 0.760 0.750
0.760 0.240 0.250
0.000 0.000 0.000
0.000 0.000 0.500
0.471 0.529 0.250
0.529 0.471 0.750
0.083 0.917 0.250
0.359 0.641 0.071
0.359 0.641 0.429
0.641 0.359 0.571
0.641 0.359 0.929
0.917 0.083 0.750